No. 1
Entry from Alexandria via LeMat-Bulk: PmGdYEr after structural relaxation (PBE).

Results
VASP energy ... -7.357 eV per atom
Symmetry ... No. 216
Density of states at the Fermi level ... 2.09 states/eV per atom
Formation energy ... 0.1076 eV/atom

a = 5.700 Å, b = 5.700 Å, c = 5.700 Å
α = 60.00°, β = 60.00°, γ = 60.00°
Site moments in Bohr magnetons follow the coordinates.
Element x y z (fractional)
Pm 0.500 0.500 0.500  0.02
Er 0.250 0.250 0.250  0.10
Gd 0.000 0.000 0.000  7.24
Y 0.750 0.750 0.750  0.08

No. 2
Entry from Alexandria via LeMat-Bulk: PuAgBr4 after structural relaxation (PBE).

Results
ΔE_f (raw) ... -641 kJ/mol of formula units
VASP energy ... -5.087 eV per atom
Symmetry ... No. 12
Density of states at the Fermi level ... 1.86 states/eV per atom

a = 4.248 Å, b = 7.183 Å, c = 13.944 Å
α = 95.73°, β = 90.00°, γ = 90.00°
Site moments in Bohr magnetons follow the coordinates.
Element x y z (fractional)
Pu 0.500 0.500 0.000  5.10
Pu 0.000 0.500 0.500  5.10
Br 0.500 0.615 0.377  -0.05
Br 0.500 0.858 0.109  -0.04
Br 0.500 0.385 0.623  -0.05
Br 0.500 0.142 0.891  -0.04
Br 0.000 0.142 0.391  -0.04
Br 0.000 0.858 0.609  -0.04
Br 0.000 0.385 0.123  -0.05
Br 0.000 0.615 0.877  -0.05
Ag 0.500 0.000 0.500  -0.01
Ag 0.000 0.000 0.000  -0.01

No. 3
Entry from Alexandria via LeMat-Bulk: CsScPb2 after structural relaxation (PBE).

Results
Distance to the lowest polymorph of the same formula ... 443.7 meV/atom
VASP energy ... -3.446 eV per atom
Symmetry ... No. 225
Density of states at the Fermi level ... 0.84 states/eV per atom
Formation energy ... 0.2046 eV/atom

a = 5.757 Å, b = 5.757 Å, c = 5.757 Å
α = 60.00°, β = 60.00°, γ = 60.00°
Element x y z (fractional)
Pb 0.250 0.250 0.250
Pb 0.750 0.750 0.750
Cs 0.500 0.500 0.500
Sc 0.000 0.000 0.000

No. 4
Entry from Alexandria via LeMat-Bulk: AcLaEu4 after structural relaxation (PBE).

Results
VASP energy ... -8.155 eV per atom
Symmetry ... No. 216
Density of states at the Fermi level ... 2.03 states/eV per atom
Formation energy ... 0.2007 eV/atom

a = 7.114 Å, b = 7.114 Å, c = 7.114 Å
α = 60.00°, β = 60.00°, γ = 60.00°
Site moments in Bohr magnetons follow the coordinates.
Element x y z (fractional)
Eu 0.626 0.626 0.123  7.08
Eu 0.626 0.626 0.626  7.08
Eu 0.123 0.626 0.626  7.08
Eu 0.626 0.123 0.626  7.08
La 0.000 0.000 0.000  0.32
Ac 0.250 0.250 0.250  0.16

No. 5
Entry from Alexandria via LeMat-Bulk: RbBiBr2 after structural relaxation (PBE).

Results
Distance to the lowest polymorph of the same formula ... 287.7 meV/atom
ΔE_f (raw) ... -212 kJ/mol of formula units
VASP energy ... -2.597 eV per atom
Symmetry ... No. 225
Density of states at the Fermi level ... 1.41 states/eV per atom

a = 5.801 Å, b = 5.801 Å, c = 5.801 Å
α = 60.00°, β = 60.00°, γ = 60.00°
Site moments in Bohr magnetons follow the coordinates.
Element x y z (fractional)
Br 0.750 0.750 0.750  0.11
Br 0.250 0.250 0.250  0.11
Bi 0.500 0.500 0.500  1.04
Rb 0.000 0.000 0.000  0.01

No. 6
Entry from Alexandria via LeMat-Bulk: SiHg2Os after structural relaxation (PBE).

Results
ΔE_f (raw) ... 329 kJ/mol of formula units
VASP energy ... -3.462 eV per atom
Symmetry ... No. 65
Density of states at the Fermi level ... 0.76 states/eV per atom

a = 2.898 Å, b = 2.898 Å, c = 10.581 Å
α = 90.00°, β = 90.00°, γ = 122.01°
Element x y z (fractional)
Hg 0.000 0.000 0.489
Hg 0.000 0.000 0.011
Si 0.500 0.500 0.750
Os 0.500 0.500 0.250

No. 7
Entry from Alexandria via LeMat-Bulk: NbAl3Se after structural relaxation (PBE).

Results
Distance to the lowest polymorph of the same formula ... 0.0 meV/atom
ΔE_f (raw) ... 448 kJ/mol of formula units
VASP energy ... -4.028 eV per atom
Symmetry ... No. 221
Density of states at the Fermi level ... 0.55 states/eV per atom

a = 4.746 Å, b = 4.746 Å, c = 4.746 Å
α = 90.00°, β = 90.00°, γ = 90.00°
Element x y z (fractional)
Al 0.000 0.500 0.000
Al 0.000 0.000 0.500
Al 0.500 0.000 0.000
Nb 0.500 0.500 0.500
Se 0.000 0.000 0.000

No. 8
Entry from Alexandria via LeMat-Bulk: Rb2NaBeH4 after structural relaxation (PBE).

Results
VASP energy ... -2.684 eV per atom
Symmetry ... No. 70
Density of states at the Fermi level ... 0.14 states/eV per atom

a = 5.220 Å, b = 5.151 Å, c = 18.601 Å
α = 85.92°, β = 81.93°, γ = 59.56°
Element x y z (fractional)
Rb 0.183 0.000 0.635
Rb 0.567 0.500 0.865
Rb 0.933 0.500 0.135
Rb 0.817 0.000 0.365
H 0.412 0.813 0.047
H 0.477 0.313 0.547
H 0.774 0.813 0.953
H 0.976 0.687 0.547
H 0.338 0.687 0.453
H 0.209 0.313 0.453
H 0.541 0.187 0.047
H 0.273 0.187 0.953
Na 0.750 0.500 0.500
Na 0.000 0.000 0.000
Be 0.250 0.500 0.500
Be 0.500 0.000 0.000